VASP calculation (PBE) on a relaxed structure of U2MnSi4Ir3.

Lattice parameters (Å, degrees): 4.101 4.101 9.746 90.00 90.00 90.00
Space group P-4m2 (No. 115)
Asymmetric unit:
U  0.000  0.500  0.240 (multiplicity 2)
Mn  0.500  0.500  0.000 (multiplicity 1)
Si  0.000  0.000  0.500 (multiplicity 1)
Si  0.000  0.500  0.871 (multiplicity 2)
Si  0.500  0.500  0.500 (multiplicity 1)
Ir  0.000  0.000  0.000 (multiplicity 1)
Ir  0.000  0.500  0.629 (multiplicity 2)

Summary:
The uncorrected formation energy comes out at -6.901 eV/f.u. Its crystal system is tetragonal. The size of the total moment comes out at 1.4 Bohr magnetons per cell.